No. 1
## Zr2TlW (PBE-GGA)

Data for crystalline Zr2TlW at its relaxed geometry.

CIF file:
```
data_Zr2TlW
_chemical_formula_sum 'Zr6 Tl3 W3'
_symmetry_space_group_name_H-M 'R -3 m'
_symmetry_Int_Tables_number 166
_symmetry_space_group_name_Hall '-R 3 2"'
_cell_length_a 3.3093
_cell_length_b 3.3093
_cell_length_c 27.8926
_cell_angle_alpha 90.00
_cell_angle_beta 90.00
_cell_angle_gamma 120.00
loop_
_atom_site_label
_atom_site_type_symbol
_atom_site_fract_x
_atom_site_fract_y
_atom_site_fract_z
Zr1 Zr 0.0000 0.0000 0.2401
Tl1 Tl 0.0000 0.0000 0.0000
W1 W 0.0000 0.0000 0.5000
```

## Properties
DFT formation energy, eV/atom: 0.177
Density of states at the Fermi level, states/eV/f.u.: 4.002
VASP energy, eV/atom: -7.93
Distance to the lowest polymorph of the same formula, meV/atom: 182

***

No. 2
## KCoGe2 (PBE-GGA)

Data for crystalline KCoGe2 at its relaxed geometry.

CIF file:
```
data_KCoGe2
_chemical_formula_sum 'K3 Co3 Ge6'
_symmetry_space_group_name_H-M 'R -3 m'
_symmetry_Int_Tables_number 166
_symmetry_space_group_name_Hall '-R 3 2"'
_cell_length_a 4.0005
_cell_length_b 4.0005
_cell_length_c 19.4115
_cell_angle_alpha 90.00
_cell_angle_beta 90.00
_cell_angle_gamma 120.00
loop_
_atom_site_label
_atom_site_type_symbol
_atom_site_fract_x
_atom_site_fract_y
_atom_site_fract_z
K1 K 0.0000 0.0000 0.0000
Co1 Co 0.0000 0.0000 0.5000
Ge1 Ge 0.0000 0.0000 0.2046
```

## Properties
DFT formation energy, eV/atom: -0.080
Density of states at the Fermi level, states/eV/f.u.: 2.979
VASP energy, eV/atom: -4.44

***

No. 3
## Er2FeP3Ir4 (PBE-GGA)

Data for crystalline Er2FeP3Ir4 at its relaxed geometry.

CIF file:
```
data_Er2FeP3Ir4
_chemical_formula_sum 'Er2 Fe1 P3 Ir4'
_symmetry_space_group_name_H-M 'P -4 m 2'
_symmetry_Int_Tables_number 115
_cell_length_a 4.036
_cell_length_b 4.036
_cell_length_c 9.910
_cell_angle_alpha 90.00
_cell_angle_beta 90.00
_cell_angle_gamma 90.00
loop_
_symmetry_equiv_pos_as_xyz
'x,y,z'
'y,-x,-z'
'-x,-y,z'
'-y,x,-z'
'-x,y,z'
'-y,-x,-z'
'x,-y,z'
'y,x,-z'
loop_
_atom_site_label
_atom_site_type_symbol
_atom_site_fract_x
_atom_site_fract_y
_atom_site_fract_z
Er1 Er 0.000 0.500 0.248
Fe1 Fe 0.500 0.500 0.000
P1 P 0.000 0.000 0.000
P2 P 0.000 0.500 0.638
Ir1 Ir 0.000 0.000 0.500
Ir2 Ir 0.000 0.500 0.868
Ir3 Ir 0.500 0.500 0.500
```

## Properties
DFT formation energy, eV/atom: -0.883
Density of states at the Fermi level, states/eV/f.u.: 2.443
VASP energy, eV/atom: -7.81

***

No. 4
## Mn2TlRu (PBE-GGA)

Data for crystalline Mn2TlRu at its relaxed geometry.

CIF file:
```
data_Mn2TlRu
_chemical_formula_sum 'Mn4 Tl2 Ru2'
_symmetry_space_group_name_H-M 'I -4 m 2'
_symmetry_Int_Tables_number 119
_symmetry_space_group_name_Hall 'I -4 -2'
_cell_length_a 4.075
_cell_length_b 4.075
_cell_length_c 7.756
_cell_angle_alpha 90.00
_cell_angle_beta 90.00
_cell_angle_gamma 90.00
loop_
_atom_site_label
_atom_site_type_symbol
_atom_site_fract_x
_atom_site_fract_y
_atom_site_fract_z
Mn1 Mn 0.000 0.000 0.000
Mn2 Mn 0.000 0.500 0.250
Tl1 Tl 0.000 0.500 0.750
Ru1 Ru 0.000 0.000 0.500
```

## Properties
DFT formation energy, eV/atom: 0.435
Density of states at the Fermi level, states/eV/f.u.: 3.937
VASP energy, eV/atom: -7.06
Distance to the lowest polymorph of the same formula, meV/atom: 91

***

No. 5
## Sr2Ga7Ag12 (PBE-GGA)

Data for crystalline Sr2Ga7Ag12 at its relaxed geometry.

CIF file:
```
data_Sr2Ga7Ag12
_chemical_formula_sum 'Sr2 Ga7 Ag12'
_symmetry_space_group_name_H-M 'P -3'
_symmetry_Int_Tables_number 147
_cell_length_a 10.7372
_cell_length_b 10.7372
_cell_length_c 4.2372
_cell_angle_alpha 90.00
_cell_angle_beta 90.00
_cell_angle_gamma 120.00
loop_
_symmetry_equiv_pos_as_xyz
'x,y,z'
'-x,-y,-z'
'-y,x-y,z'
'y,-x+y,-z'
'-x+y,-x,z'
'x-y,x,-z'
loop_
_atom_site_label
_atom_site_type_symbol
_atom_site_fract_x
_atom_site_fract_y
_atom_site_fract_z
Sr1 Sr 0.3333 0.6667 0.2448
Ga1 Ga 0.0000 0.0000 0.5000
Ga2 Ga 0.1175 0.7081 0.7422
Ag1 Ag 0.0548 0.4329 0.7519
Ag2 Ag 0.1191 0.2590 0.2327
```

## Properties
DFT formation energy, eV/atom: -0.132
Density of states at the Fermi level, states/eV/f.u.: 7.847
VASP energy, eV/atom: -2.93

***

No. 6
## PrGdLuSn (PBE-GGA)

Data for crystalline PrGdLuSn at its relaxed geometry.

CIF file:
```
data_PrGdLuSn
_chemical_formula_sum 'Pr4 Gd4 Lu4 Sn4'
_symmetry_space_group_name_H-M 'F -4 3 m'
_symmetry_Int_Tables_number 216
_symmetry_space_group_name_Hall 'F -4 2 3'
_cell_length_a 7.761
_cell_length_b 7.761
_cell_length_c 7.761
_cell_angle_alpha 90.00
_cell_angle_beta 90.00
_cell_angle_gamma 90.00
loop_
_atom_site_label
_atom_site_type_symbol
_atom_site_fract_x
_atom_site_fract_y
_atom_site_fract_z
Pr1 Pr 0.000 0.000 0.000
Gd1 Gd 0.000 0.000 0.500
Lu1 Lu 0.250 0.250 0.250
Sn1 Sn 0.250 0.250 0.750
```

## Properties
DFT formation energy, eV/atom: -0.264
Density of states at the Fermi level, states/eV/f.u.: 4.649
VASP energy, eV/atom: -7.11

***

No. 7
## Cs3Pu2Cl7 (PBE-GGA)

Data for crystalline Cs3Pu2Cl7 at its relaxed geometry.

CIF file:
```
data_Cs3Pu2Cl7
_chemical_formula_sum 'Cs6 Pu4 Cl14'
_symmetry_space_group_name_H-M 'C m m m'
_symmetry_Int_Tables_number 65
_symmetry_space_group_name_Hall '-C 2 2'
_cell_length_a 5.620
_cell_length_b 28.411
_cell_length_c 5.524
_cell_angle_alpha 90.00
_cell_angle_beta 90.00
_cell_angle_gamma 90.00
loop_
_atom_site_label
_atom_site_type_symbol
_atom_site_fract_x
_atom_site_fract_y
_atom_site_fract_z
Cs1 Cs 0.000 0.000 0.000
Cs2 Cs 0.000 0.183 0.000
Pu1 Pu 0.000 0.400 0.500
Cl1 Cl 0.000 0.097 0.500
Cl2 Cl 0.000 0.302 0.500
Cl3 Cl 0.000 0.403 0.000
Cl4 Cl 0.000 0.500 0.500
```

## Properties
Formation energy without anion corrections, meV/atom: -1847
Density of states at the Fermi level, states/eV/f.u.: 30.368
VASP energy, eV/atom: -5.53
Distance to the lowest polymorph of the same formula, meV/atom: 25

***

No. 8
## Cu2As2Br (PBE-GGA)

Data for crystalline Cu2As2Br at its relaxed geometry.

CIF file:
```
data_Cu2As2Br
_chemical_formula_sum 'Cu4 As4 Br2'
_symmetry_space_group_name_H-M 'I 4/m m m'
_symmetry_Int_Tables_number 139
_symmetry_space_group_name_Hall '-I 4 2'
_cell_length_a 4.461
_cell_length_b 4.461
_cell_length_c 9.568
_cell_angle_alpha 90.00
_cell_angle_beta 90.00
_cell_angle_gamma 90.00
loop_
_atom_site_label
_atom_site_type_symbol
_atom_site_fract_x
_atom_site_fract_y
_atom_site_fract_z
Cu1 Cu 0.000 0.500 0.250
As1 As 0.000 0.000 0.133
Br1 Br 0.000 0.000 0.500
```

## Properties
Formation energy without anion corrections, meV/atom: 199
Density of states at the Fermi level, states/eV/f.u.: 3.484
VASP energy, eV/atom: -3.63